[1]
Here is a geometry-optimized LuCdGaAu structure from Alexandria. Energies are from PBE-GGA.

- space group = F-43m, No. 216
- energy (eV/cell) = -13.7
- magnetization (μB per formula unit) = 0.00
- energy relative to the elements (eV per atom) = -0.49

Cell lengths 4.860, 4.860, 4.860 Å; angles 60.00, 60.00, 60.00 degrees
Element x y z (fractional)
Ga 0.000 0.000 0.000
Cd 0.750 0.750 0.750
Lu 0.250 0.250 0.250
Au 0.500 0.500 0.500


[2]
Here is a geometry-optimized MgCdGaAu structure from Alexandria. Energies are from PBE-GGA.

- space group = F-43m, No. 216
- energy (eV/cell) = -9.6
- magnetization (μB per formula unit) = 0.00
- energy relative to the elements (eV per atom) = -0.19

Cell lengths 4.801, 4.801, 4.801 Å; angles 60.00, 60.00, 60.00 degrees
Element x y z (fractional)
Mg 0.250 0.250 0.250
Cd 0.750 0.750 0.750
Ga 0.000 0.000 0.000
Au 0.500 0.500 0.500


[3]
Here is a geometry-optimized MgCd2Ga2Au5 structure from Alexandria. Energies are from PBE-GGA.

- space group = P4/mbm, No. 127
- energy (eV/cell) = -55.8
- magnetization (μB per formula unit) = 0.00
- energy relative to the elements (eV per atom) = -0.20

Cell lengths 3.750, 10.175, 10.175 Å; angles 90.00, 90.00, 90.00 degrees
Element x y z (fractional)
Au 0.500 0.016 0.795
Au 0.500 0.984 0.205
Au 0.500 0.295 0.516
Au 0.500 0.500 0.000
Au 0.500 0.516 0.705
Au 0.500 0.205 0.016
Au 0.500 0.705 0.484
Au 0.500 0.795 0.984
Au 0.500 0.484 0.295
Au 0.500 0.000 0.500
Ga 0.000 0.142 0.642
Ga 0.000 0.858 0.358
Ga 0.000 0.642 0.858
Ga 0.000 0.358 0.142
Mg 0.000 0.500 0.500
Mg 0.000 0.000 0.000
Cd 0.000 0.329 0.829
Cd 0.000 0.171 0.329
Cd 0.000 0.829 0.671
Cd 0.000 0.671 0.171


[4]
Here is a geometry-optimized MnCdGaAu structure from Alexandria. Energies are from PBE-GGA.

- space group = F-43m, No. 216
- energy (eV/cell) = -16.1
- magnetization (μB per formula unit) = 3.84
- energy relative to the elements (eV per atom) = 0.07

Cell lengths 4.633, 4.633, 4.633 Å; angles 60.00, 60.00, 60.00 degrees
Element x y z (fractional)
Au 0.750 0.750 0.750
Mn 0.500 0.500 0.500
Ga 0.000 0.000 0.000
Cd 0.250 0.250 0.250


[5]
Here is a geometry-optimized Na2CdGaAu6 structure from Alexandria. Energies are from PBE-GGA.

- space group = Fm-3m, No. 225
- energy (eV/cell) = -25.7
- magnetization (μB per formula unit) = 0.00
- energy relative to the elements (eV per atom) = 0.05

Cell lengths 7.233, 7.233, 7.233 Å; angles 60.00, 60.00, 90.00 degrees
Element x y z (fractional)
Ga 0.500 0.500 0.000
Au 0.259 0.259 0.000
Au 0.741 0.259 0.000
Au 0.741 0.741 0.518
Au 0.259 0.741 0.000
Au 0.741 0.741 0.000
Au 0.259 0.259 0.482
Cd 0.000 0.000 0.000
Na 0.750 0.250 0.500
Na 0.250 0.750 0.500


[6]
Here is a geometry-optimized NaCdGaAu structure from Alexandria. Energies are from PBE-GGA.

- space group = F-43m, No. 216
- energy (eV/cell) = -9.2
- magnetization (μB per formula unit) = 0.00
- energy relative to the elements (eV per atom) = -0.18

Cell lengths 4.816, 4.816, 4.816 Å; angles 60.00, 60.00, 60.00 degrees
Element x y z (fractional)
Ga 0.750 0.750 0.750
Cd 0.250 0.250 0.250
Au 0.000 0.000 0.000
Na 0.500 0.500 0.500